(1)
## ReBiSbTe2 (PBE)

Data for ReBiSbTe2 after structural relaxation.

## Properties
Magnetic moment   0.0 μB/cell
Total energy   -4.71 eV/atom

Cell lengths 5.261, 5.261, 5.220 Å; angles 90.00, 90.00, 90.00 degrees
Element x y z (fractional)
Re1 0.000 0.000 0.000
Bi1 0.500 0.500 0.500
Sb1 0.000 0.000 0.500
Te1 0.000 0.500 0.000
Te2 0.500 0.000 0.000


(2)
## Zn2Sn2Au (PBE)

Data for Zn2Sn2Au after structural relaxation.

## Properties
Magnetic moment   0.0 μB/cell
Total energy   -2.66 eV/atom
Energy of formation   0.11 eV/atom

Cell lengths 7.889, 7.889, 3.581 Å; angles 90.00, 90.00, 90.00 degrees
Element x y z (fractional)
Zn1 0.114 0.386 0.000
Zn2 0.386 0.886 0.000
Zn3 0.614 0.114 0.000
Zn4 0.886 0.614 0.000
Sn1 0.192 0.692 0.500
Sn2 0.308 0.192 0.500
Sn3 0.692 0.808 0.500
Sn4 0.808 0.308 0.500
Au1 0.000 0.000 0.500
Au2 0.500 0.500 0.500


(3)
## Tb3DyIn (PBE)

Data for Tb3DyIn after structural relaxation.

## Properties
Magnetic moment   0.0 μB/cell
Total energy   -4.44 eV/atom
Energy of formation   -0.19 eV/atom

Cell lengths 12.805, 12.805, 4.831 Å; angles 90.00, 90.00, 158.26 degrees
Element x y z (fractional)
Tb1 0.050 0.950 0.750
Tb2 0.250 0.750 0.750
Tb3 0.448 0.552 0.750
Tb4 0.552 0.448 0.250
Tb5 0.750 0.250 0.250
Tb6 0.950 0.050 0.250
Dy1 0.150 0.850 0.250
Dy2 0.850 0.150 0.750
In1 0.347 0.653 0.250
In2 0.653 0.347 0.750


(4)
## Tb5PrS6 (PBE)

Data for Tb5PrS6 after structural relaxation.

## Properties
Magnetic moment   0.0 μB/cell
Total energy   -6.40 eV/atom

Cell lengths 6.864, 6.864, 6.846 Å; angles 99.67, 99.67, 120.09 degrees
Element x y z (fractional)
Tb1 0.000 0.000 0.000
Tb2 0.166 0.834 0.500
Tb3 0.338 0.662 0.000
Tb4 0.662 0.338 0.000
Tb5 0.834 0.166 0.500
Pr1 0.500 0.500 0.500
S1 0.072 0.415 0.244
S2 0.242 0.242 0.753
S3 0.415 0.072 0.244
S4 0.585 0.928 0.756
S5 0.758 0.758 0.247
S6 0.928 0.585 0.756


(5)
## CaZnPb (PBE)

Data for CaZnPb after structural relaxation.

## Properties
Magnetic moment   0.0 μB/cell
Total energy   -2.71 eV/atom
Energy of formation   -0.38 eV/atom

Cell lengths 4.795, 4.795, 7.688 Å; angles 90.00, 90.00, 120.00 degrees
Element x y z (fractional)
Ca1 0.000 0.000 0.000
Ca2 0.000 0.000 0.500
Zn1 0.333 0.667 0.187
Zn2 0.667 0.333 0.687
Pb1 0.333 0.667 0.780
Pb2 0.667 0.333 0.280


(6)
## Li2Pm2Pt3 (PBE)

Data for Li2Pm2Pt3 after structural relaxation.

## Properties
Magnetic moment   0.0 μB/cell
Total energy   -5.25 eV/atom
Energy of formation   -0.76 eV/atom

Cell lengths 10.919, 10.919, 3.379 Å; angles 90.00, 90.00, 160.62 degrees
Element x y z (fractional)
Li1 0.219 0.781 0.000
Li2 0.781 0.219 0.000
Pm1 0.085 0.915 0.000
Pm2 0.915 0.085 0.000
Pt1 0.334 0.666 0.500
Pt2 0.500 0.500 0.500
Pt3 0.666 0.334 0.500


magnetic moment of number 5 (CaZnPb)? 0.0 μB/cell


Which formula does entry 4 have? Tb5PrS6


Which formula does entry 4 have? Tb5PrS6